[1]
Entry from the Alexandria database: a PBEsol-optimized structure of Na3CrSi (meta-GGA SCAN).

Symmetry: Pm-3m (221)
E_tot, eV per cell: -35.92
Raw formation energy, eV/f.u.: 5.1
Calculated volume, Å³ per cell: 161.4
Magnetic moment, μB/f.u.: 4.3
Crystal system: cubic
Distance to the lowest polymorph of the same formula, kJ/mol of formula units: 156

abc: 5.445 5.445 5.445
angles: 90.00 90.00 90.00
Atoms (fractional coordinates):
Na  0.000  0.000  0.500
Na  0.000  0.500  0.000
Na  0.500  0.000  0.000
Cr  0.000  0.000  0.000
Si  0.500  0.500  0.500

[2]
Entry from the Alexandria database: a PBEsol-optimized structure of NaCr3Tc (meta-GGA SCAN).

Symmetry: Pm-3m (221)
E_tot, eV per cell: -89.69
Calculated volume, Å³ per cell: 100.6
Magnetic moment, μB/f.u.: 9.8
Crystal system: cubic
ΔH_f (0 K), eV per atom: 0.95

abc: 4.651 4.651 4.651
angles: 90.00 90.00 90.00
Atoms (fractional coordinates):
Na  0.000  0.000  0.000
Cr  0.000  0.500  0.500
Cr  0.500  0.000  0.500
Cr  0.500  0.500  0.000
Tc  0.500  0.500  0.500

[3]
Entry from the Alexandria database: a PBEsol-optimized structure of NaCrTc3 (meta-GGA SCAN).

Symmetry: Pm-3m (221)
E_tot, eV per cell: -115.09
Calculated volume, Å³ per cell: 83.7
Magnetic moment, μB/f.u.: 0.9
Crystal system: cubic
ΔH_f (0 K), eV per atom: 2.54

abc: 4.374 4.374 4.374
angles: 90.00 90.00 90.00
Atoms (fractional coordinates):
Na  0.000  0.000  0.000
Cr  0.500  0.500  0.500
Tc  0.000  0.000  0.500
Tc  0.000  0.500  0.000
Tc  0.500  0.000  0.000

[4]
Entry from the Alexandria database: a PBEsol-optimized structure of Na3CrTe (meta-GGA SCAN).

Symmetry: Pm-3m (221)
E_tot, eV per cell: -68.31
Raw formation energy, eV/f.u.: 0.0
Calculated volume, Å³ per cell: 196.2
Magnetic moment, μB/f.u.: 5.0
Crystal system: cubic

abc: 5.811 5.811 5.811
angles: 90.00 90.00 90.00
Atoms (fractional coordinates):
Na  0.000  0.000  0.500
Na  0.000  0.500  0.000
Na  0.500  0.000  0.000
Cr  0.500  0.500  0.500
Te  0.000  0.000  0.000

[5]
Entry from the Alexandria database: a PBEsol-optimized structure of NaCr2W (meta-GGA SCAN).

Symmetry: Fm-3m (225)
E_tot, eV per cell: -429.91
Calculated volume, Å³ per cell: 236.8
Magnetic moment, μB/f.u.: 4.9
Crystal system: cubic
ΔH_f (0 K), eV per atom: 0.80

abc: 6.186 6.186 6.186
angles: 90.00 90.00 90.00
Atoms (fractional coordinates):
Na  0.000  0.000  0.000
Na  0.000  0.500  0.500
Na  0.500  0.000  0.500
Na  0.500  0.500  0.000
Cr  0.250  0.250  0.250
Cr  0.250  0.250  0.750
Cr  0.250  0.750  0.250
Cr  0.250  0.750  0.750
Cr  0.750  0.250  0.250
Cr  0.750  0.250  0.750
Cr  0.750  0.750  0.250
Cr  0.750  0.750  0.750
W  0.000  0.000  0.500
W  0.000  0.500  0.000
W  0.500  0.000  0.000
W  0.500  0.500  0.500

[6]
Entry from the Alexandria database: a PBEsol-optimized structure of NaZnCr2W (meta-GGA SCAN).

Symmetry: P4/mmm (123)
E_tot, eV per cell: -116.24
Calculated volume, Å³ per cell: 90.3
Magnetic moment, μB/f.u.: 4.2
Crystal system: tetragonal
ΔH_f (0 K), eV per atom: 1.59

abc: 4.571 4.571 4.325
angles: 90.00 90.00 90.00
Atoms (fractional coordinates):
Na  0.000  0.000  0.000
Zn  0.000  0.000  0.500
Cr  0.000  0.500  0.500
Cr  0.500  0.000  0.500
W  0.500  0.500  0.000

[7]
Entry from the Alexandria database: a PBEsol-optimized structure of NaZnCr3 (meta-GGA SCAN).

Symmetry: Pm-3m (221)
E_tot, eV per cell: -64.62
Calculated volume, Å³ per cell: 112.7
Magnetic moment, μB/f.u.: 14.4
Crystal system: cubic
ΔH_f (0 K), eV per atom: 1.65

abc: 4.831 4.831 4.831
angles: 90.00 90.00 90.00
Atoms (fractional coordinates):
Na  0.000  0.000  0.000
Zn  0.500  0.500  0.500
Cr  0.000  0.000  0.500
Cr  0.000  0.500  0.000
Cr  0.500  0.000  0.000

[8]
Entry from the Alexandria database: a PBEsol-optimized structure of NbCrNi2 (meta-GGA SCAN).

Symmetry: Fm-3m (225)
E_tot, eV per cell: -335.68
Calculated volume, Å³ per cell: 207.9
Magnetic moment, μB/f.u.: 4.8
Crystal system: cubic
ΔH_f (0 K), eV per atom: -0.01

abc: 5.924 5.924 5.924
angles: 90.00 90.00 90.00
Atoms (fractional coordinates):
Nb  0.000  0.000  0.000
Nb  0.000  0.500  0.500
Nb  0.500  0.000  0.500
Nb  0.500  0.500  0.000
Cr  0.000  0.000  0.500
Cr  0.000  0.500  0.000
Cr  0.500  0.000  0.000
Cr  0.500  0.500  0.500
Ni  0.250  0.250  0.250
Ni  0.250  0.250  0.750
Ni  0.250  0.750  0.250
Ni  0.250  0.750  0.750
Ni  0.750  0.250  0.250
Ni  0.750  0.250  0.750
Ni  0.750  0.750  0.250
Ni  0.750  0.750  0.750

[9]
Entry from the Alexandria database: a PBEsol-optimized structure of NbCrNi3 (meta-GGA SCAN).

Symmetry: Pm-3m (221)
E_tot, eV per cell: -93.31
Calculated volume, Å³ per cell: 86.8
Magnetic moment, μB/f.u.: 3.7
Crystal system: cubic
ΔH_f (0 K), eV per atom: 1.34

abc: 4.428 4.428 4.428
angles: 90.00 90.00 90.00
Atoms (fractional coordinates):
Nb  0.000  0.000  0.000
Cr  0.500  0.500  0.500
Ni  0.000  0.000  0.500
Ni  0.000  0.500  0.000
Ni  0.500  0.000  0.000

[10]
Entry from the Alexandria database: a PBEsol-optimized structure of NbCr2NiW (meta-GGA SCAN).

Symmetry: P4/mmm (123)
E_tot, eV per cell: -144.70
Calculated volume, Å³ per cell: 89.1
Magnetic moment, μB/f.u.: 4.0
Crystal system: tetragonal
ΔH_f (0 K), eV per atom: 2.21

abc: 4.335 4.335 4.742
angles: 90.00 90.00 90.00
Atoms (fractional coordinates):
Nb  0.000  0.000  0.000
Cr  0.000  0.500  0.000
Cr  0.500  0.000  0.000
Ni  0.500  0.500  0.500
W  0.000  0.000  0.500

[11]
Entry from the Alexandria database: a PBEsol-optimized structure of NbCr3O (meta-GGA SCAN).

Symmetry: Pm-3m (221)
E_tot, eV per cell: -96.16
Raw formation energy, eV/f.u.: -1.6
Calculated volume, Å³ per cell: 57.5
Magnetic moment, μB/f.u.: 3.2
Crystal system: cubic

abc: 3.860 3.860 3.860
angles: 90.00 90.00 90.00
Atoms (fractional coordinates):
Nb  0.000  0.000  0.000
Cr  0.000  0.500  0.500
Cr  0.500  0.000  0.500
Cr  0.500  0.500  0.000
O  0.500  0.500  0.500

[12]
Entry from the Alexandria database: a PBEsol-optimized structure of NbCrO3 (meta-GGA SCAN).

Symmetry: Pm-3m (221)
E_tot, eV per cell: -79.81
Raw formation energy, eV/f.u.: -9.6
Calculated volume, Å³ per cell: 62.8
Magnetic moment, μB/f.u.: 4.7
Crystal system: cubic

abc: 3.976 3.976 3.976
angles: 90.00 90.00 90.00
Atoms (fractional coordinates):
Nb  0.000  0.000  0.000
Cr  0.500  0.500  0.500
O  0.000  0.000  0.500
O  0.000  0.500  0.000
O  0.500  0.000  0.000